Entry 1:
Computed, not measured: an optimized crystal structure of MoRu2Se at the PBE-GGA level of DFT.

Summary:
* density of states at the Fermi level: 0.788 states/eV per atom
* formation energy without anion corrections: 0.1701 eV/atom
* M_tot: 0.000 μB/cell
* total DFT energy (no corrections): -8.05 eV per atom

```
4
Lattice="2.9612 0.0000 0.0000 0.0000 2.9612 0.0000 0.0000 0.0000 6.7459" Properties=species:S:1:pos:R:3 pbc="T T T"
Mo 0.0000 0.0000 0.0000
Ru 0.0000 0.0000 3.5576
Ru 1.4806 1.4806 1.7103
Se 1.4806 1.4806 5.0971
```



Entry 2:
Computed, not measured: an optimized crystal structure of Mo2RuSe4 at the PBE-GGA level of DFT.

Summary:
* formation energy without anion corrections: -0.5399 eV/atom
* relative energy among the computed polymorphs: 0.316 eV/f.u.
* M_tot: 0.000 μB/cell
* total DFT energy (no corrections): -6.95 eV per atom

```
14
Lattice="6.7317 0.0000 0.0000 -0.4671 6.7358 0.0000 -0.3193 -0.3034 6.7568" Properties=species:S:1:pos:R:3 pbc="T T T"
Mo 0.0000 0.0000 0.0000
Mo 0.4920 4.5706 1.1861
Mo 2.2799 0.1847 1.4592
Mo 5.0028 5.7088 2.0997
Ru 0.0291 1.3544 2.3932
Ru 0.5431 5.8921 3.5823
Se 1.2386 2.1961 0.2891
Se 1.4943 5.2910 5.9947
Se 2.1367 1.3667 3.6985
Se 2.5833 4.6985 2.6484
Se 4.6865 1.2040 0.9227
Se 4.7274 4.1809 6.6262
Se 5.5586 0.2611 4.2976
Se 5.9881 3.7079 3.3889
```



Entry 3:
Computed, not measured: an optimized crystal structure of MoRu2Se at the PBE-GGA level of DFT.

Summary:
* density of states at the Fermi level: 0.706 states/eV per atom
* formation energy without anion corrections: 0.2144 eV/atom
* M_tot: 0.000 μB/cell
* total DFT energy (no corrections): -8.00 eV per atom

```
4
Lattice="4.8197 -1.4811 0.0000 4.8197 1.4811 0.0000 -0.2000 0.0000 4.3415" Properties=species:S:1:pos:R:3 pbc="T T T"
Mo 0.0000 0.0000 0.0000
Ru 2.6209 0.0000 3.2872
Ru 5.2917 0.0000 2.3529
Se 7.4269 0.0000 1.1885
```



Entry 4:
Computed, not measured: an optimized crystal structure of MoRuSe2 at the PBE-GGA level of DFT.

Summary:
* density of states at the Fermi level: 1.049 states/eV per atom
* formation energy without anion corrections: 0.5598 eV/atom
* relative energy among the computed polymorphs: 2.914 eV/f.u.
* M_tot: 0.000 μB/cell
* total DFT energy (no corrections): -6.21 eV per atom

```
4
Lattice="-1.5311 2.8037 4.0120 1.5311 -2.8037 4.0120 1.5311 2.8037 -4.0120" Properties=species:S:1:pos:R:3 pbc="T T T"
Mo 0.0000 0.0000 0.0000
Ru 0.0000 0.0000 4.0120
Se 1.5311 0.0000 2.0353
Se 0.0000 2.8037 1.9767
```



Entry 5:
Computed, not measured: an optimized crystal structure of V2MoRuSe at the PBE-GGA level of DFT.

Summary:
* density of states at the Fermi level: 1.270 states/eV per atom
* formation energy without anion corrections: 1.0428 eV/atom
* M_tot: 1.328 μB/cell
* total DFT energy (no corrections): -7.32 eV per atom

```
5
Lattice="4.4022 0.0000 0.0000 0.0000 4.4022 0.0000 0.0000 0.0000 4.5640" Properties=species:S:1:pos:R:3 pbc="T T T"
V 0.0000 2.2011 0.0000
V 2.2011 0.0000 0.0000
Mo 0.0000 0.0000 2.2820
Ru 2.2011 2.2011 2.2820
Se 0.0000 0.0000 0.0000
```



Entry 6:
Computed, not measured: an optimized crystal structure of SiMo2Ru at the PBE-GGA level of DFT.

Summary:
* density of states at the Fermi level: 0.661 states/eV per atom
* formation energy without anion corrections: -0.1634 eV/atom
* M_tot: 0.000 μB/cell
* total DFT energy (no corrections): -9.25 eV per atom

```
4
Lattice="3.1070 0.0000 0.0000 0.0000 3.1070 0.0000 0.0000 0.0000 6.0061" Properties=species:S:1:pos:R:3 pbc="T T T"
Si 0.0000 0.0000 0.0000
Mo 0.0000 0.0000 2.9454
Mo 1.5535 1.5535 1.5041
Ru 1.5535 1.5535 4.6750
```



Entry 7:
Computed, not measured: an optimized crystal structure of Si2MoRu at the PBE-GGA level of DFT.

Summary:
* density of states at the Fermi level: 0.583 states/eV per atom
* formation energy without anion corrections: -0.3789 eV/atom
* M_tot: 0.000 μB/cell
* total DFT energy (no corrections): -8.12 eV per atom

```
4
Lattice="3.1249 0.0000 0.0000 0.0000 3.1249 0.0000 0.0000 0.0000 5.6313" Properties=species:S:1:pos:R:3 pbc="T T T"
Si 0.0000 0.0000 0.0000
Si 1.5624 1.5624 1.4251
Mo 0.0000 0.0000 2.5945
Ru 1.5624 1.5624 4.4893
```



Entry 8:
Computed, not measured: an optimized crystal structure of SiMo2Ru at the PBE-GGA level of DFT.

Summary:
* density of states at the Fermi level: 0.651 states/eV per atom
* formation energy without anion corrections: -0.2558 eV/atom
* M_tot: 0.000 μB/cell
* total DFT energy (no corrections): -9.35 eV per atom

```
4
Lattice="-1.5646 2.0945 4.3732 1.5646 -2.0945 4.3732 1.5646 2.0945 -4.3732" Properties=species:S:1:pos:R:3 pbc="T T T"
Si 0.0000 0.0000 0.0000
Mo 1.5646 0.0000 2.1239
Mo 0.0000 2.0945 2.2493
Ru 0.0000 0.0000 4.3732
```



Entry 9:
Computed, not measured: an optimized crystal structure of SiMo2Ru at the PBE-GGA level of DFT.

Summary:
* density of states at the Fermi level: 1.293 states/eV per atom
* formation energy without anion corrections: 0.0634 eV/atom
* M_tot: 0.003 μB/cell
* total DFT energy (no corrections): -9.03 eV per atom

```
4
Lattice="4.5561 0.0000 0.0000 0.0000 4.5561 0.0000 0.0000 0.0000 2.8257" Properties=species:S:1:pos:R:3 pbc="T T T"
Si 0.0000 0.0000 0.0000
Mo 0.0000 2.2780 1.4128
Mo 2.2780 0.0000 1.4128
Ru 2.2780 2.2780 0.0000
```



Entry 10:
Computed, not measured: an optimized crystal structure of Si2MoRu at the PBE-GGA level of DFT.

Summary:
* density of states at the Fermi level: 0.690 states/eV per atom
* formation energy without anion corrections: -0.3789 eV/atom
* M_tot: 0.000 μB/cell
* total DFT energy (no corrections): -8.12 eV per atom

```
4
Lattice="4.4559 -1.4496 0.0000 4.4559 1.4496 0.0000 -1.2792 0.0000 4.2323" Properties=species:S:1:pos:R:3 pbc="T T T"
Si 0.0000 0.0000 0.0000
Si 1.3819 0.0000 2.7935
Mo 6.4962 0.0000 0.6370
Ru 3.8525 0.0000 2.2373
```



Among the records above, which one has the highest total DFT energy (no corrections)?
MoRuSe2